(1)
Entry from OQMD via LeMat-Bulk: an optimized crystal structure of BaGdTeAuS2 (PBE). Values from VASP.

Output
electronic total energy: -59.69 eV/cell
M_tot: 0.00 μB/f.u.

```
&SYSTEM
  ibrav = 0, nat = 12, ntyp = 5
/
ATOMIC_SPECIES
Au 196.97 Au.upf
Gd 157.25 Gd.upf
Ba 137.33 Ba.upf
Te 127.60 Te.upf
S 32.06 S.upf
CELL_PARAMETERS angstrom
2.086 -7.517 0.000
2.086 7.517 0.000
0.000 0.000 11.111
ATOMIC_POSITIONS angstrom
Au 2.086 -7.214 2.778
Gd 2.086 0.000 5.556
Ba 2.086 -3.182 8.333
Te 2.086 -1.540 2.778
Te 2.086 1.540 8.333
Gd 2.086 0.000 0.000
S 2.086 5.741 6.283
Ba 2.086 3.182 2.778
S 2.086 -5.741 4.828
S 2.086 -5.741 0.728
Au 2.086 7.214 8.333
S 2.086 5.741 10.384
```

(2)
Entry from OQMD via LeMat-Bulk: an optimized crystal structure of ThGaNi (PBE). Values from VASP.

Output
electronic total energy: -51.47 eV/cell
M_tot: 0.00 μB/f.u.

```
&SYSTEM
  ibrav = 0, nat = 9, ntyp = 3
/
ATOMIC_SPECIES
Th 232.04 Th.upf
Ni 58.69 Ni.upf
Ga 69.72 Ga.upf
CELL_PARAMETERS angstrom
-1.145 -6.814 0.263
6.444 2.446 0.544
-0.455 0.242 4.305
ATOMIC_POSITIONS angstrom
Th 3.459 1.520 2.464
Th -0.883 -3.777 2.303
Ni 4.080 -3.363 0.621
Ga 1.385 -3.727 0.356
Ga -0.228 0.121 2.152
Th 2.040 -1.748 2.497
Ni 1.482 0.563 0.125
Ni -0.263 -1.567 0.060
Ga 3.914 -0.641 0.450
```

(3)
Entry from OQMD via LeMat-Bulk: an optimized crystal structure of ZnH14C20N4O5 (PBE). Values from VASP.

Output
electronic total energy: -600.15 eV/cell

```
&SYSTEM
  ibrav = 0, nat = 88, ntyp = 5
/
ATOMIC_SPECIES
C 12.01 C.upf
H 1.01 H.upf
N 14.01 N.upf
Zn 65.41 Zn.upf
O 16.00 O.upf
CELL_PARAMETERS angstrom
-0.846 5.138 7.701
-6.370 -3.404 7.073
7.404 -5.020 4.757
ATOMIC_POSITIONS angstrom
C 2.428 -1.156 8.216
C -2.240 -2.130 11.316
C -4.456 -3.633 8.630
C -4.081 -1.685 12.799
C -0.877 0.877 9.711
C 3.809 -4.151 9.577
H -1.580 3.058 8.336
H -0.081 -3.933 15.088
N -1.820 -1.389 13.554
N -1.442 1.498 10.761
Zn -0.479 -0.599 15.020
H 1.768 -6.344 11.196
H -1.158 -0.228 7.879
H 3.658 -2.227 4.757
H 3.369 -5.319 7.797
C -2.778 1.497 10.875
H -6.332 -2.584 8.432
O 2.060 -2.150 2.951
C -3.149 -3.776 8.156
H -4.294 -2.246 10.712
O -0.226 -2.577 16.172
C 5.517 -0.566 11.499
C -2.730 -3.015 7.065
O 0.414 -0.709 3.360
O 0.682 0.557 12.367
C -3.022 0.216 8.863
H 0.210 0.944 9.649
N 0.230 -4.565 14.314
C -5.329 -2.720 8.033
H -0.022 -4.230 9.883
H 0.268 0.647 4.445
C 3.830 -1.119 13.115
H -1.845 -2.428 10.345
H -2.473 -4.482 8.640
O 0.512 2.388 7.160
O 1.190 -0.999 13.905
C 2.966 -4.783 8.658
H 2.661 1.196 10.892
O -1.003 -2.288 5.627
C 3.336 0.489 11.376
C 5.121 -1.275 12.630
H 1.345 -3.059 11.653
H -3.182 2.032 11.735
H 2.033 -0.858 9.187
O -0.494 -3.844 7.165
H -3.470 -1.059 14.775
C 1.507 -0.209 12.943
H -3.294 -1.602 5.557
C 5.246 -4.221 9.378
C -3.642 -2.168 6.417
C 2.918 -0.271 12.467
C -3.621 0.865 9.955
C 1.828 -3.517 10.792
C 3.799 -1.238 7.998
N -1.367 1.388 5.463
C -0.661 -5.118 13.421
C -1.641 0.231 8.741
N 2.008 -1.897 5.978
H 4.482 -1.040 8.820
C -1.255 -2.215 16.851
H 0.488 -1.489 7.310
C -5.059 0.934 10.154
C 1.443 -1.072 2.681
C -1.319 -3.078 6.589
C 0.848 1.831 6.111
N -0.042 1.279 5.218
C 1.567 -1.500 7.185
C -1.379 -1.786 12.347
H 1.968 -3.516 15.773
C 4.269 -1.602 6.734
N 1.555 -4.675 14.070
C -3.611 -2.048 11.534
O -1.872 -1.136 16.581
H -0.300 -1.797 12.222
C 3.209 -3.502 10.669
C -4.933 -2.011 6.903
N 1.630 -4.784 8.771
C 3.329 -1.926 5.751
O -0.325 -5.674 12.372
H -3.647 -0.284 8.127
C 1.064 -4.163 9.821
H 6.520 -0.702 11.100
H 3.834 -3.002 11.405
C 4.643 0.346 10.902
C -3.141 -1.360 13.781
Zn 0.666 -2.687 4.512
H -1.780 0.229 3.759
H 3.482 -1.685 13.975
```

(4)
Entry from OQMD via LeMat-Bulk: an optimized crystal structure of TlPtNO (PBE). Values from VASP.

Output
electronic total energy: -80.17 eV/cell
M_tot: 0.00 μB/f.u.

```
&SYSTEM
  ibrav = 0, nat = 16, ntyp = 4
/
ATOMIC_SPECIES
Tl 204.38 Tl.upf
O 16.00 O.upf
N 14.01 N.upf
Pt 195.08 Pt.upf
CELL_PARAMETERS angstrom
5.817 0.000 0.000
0.000 7.256 0.000
0.000 0.000 5.408
ATOMIC_POSITIONS angstrom
Tl 2.652 2.469 2.663
O 4.949 7.159 1.299
N 5.384 4.700 4.930
O 0.867 0.097 4.002
N 3.341 4.700 2.226
Tl 0.257 2.469 5.367
Pt 0.713 6.125 0.315
O 2.041 0.097 1.299
O 3.776 7.159 4.002
Pt 3.621 1.131 0.315
Tl 3.165 4.787 5.367
N 0.433 2.555 2.226
N 2.476 2.555 4.930
Tl 5.560 4.787 2.663
Pt 2.195 6.125 3.019
Pt 5.104 1.131 3.019
```

(5)
Entry from OQMD via LeMat-Bulk: an optimized crystal structure of LiCu2 (PBE). Values from VASP.

Output
electronic total energy: -75.98 eV/cell

```
&SYSTEM
  ibrav = 0, nat = 24, ntyp = 2
/
ATOMIC_SPECIES
Li 6.94 Li.upf
Cu 63.55 Cu.upf
CELL_PARAMETERS angstrom
4.817 0.000 0.000
-2.408 4.172 0.000
0.000 0.000 15.730
ATOMIC_POSITIONS angstrom
Li 2.408 1.391 5.413
Cu 2.408 1.391 13.763
Li 0.000 2.781 13.277
Cu -1.204 2.086 7.865
Cu 2.408 0.000 0.000
Cu 0.000 2.781 5.898
Li 2.408 1.391 2.452
Li 0.000 0.000 1.479
Cu 1.224 3.488 3.932
Li 0.000 0.000 6.386
Cu 2.408 1.391 9.832
Cu 1.185 0.684 11.797
Cu 2.408 0.000 7.865
Cu 2.408 2.804 11.797
Cu -1.224 3.488 3.932
Li 0.000 2.781 10.317
Cu 1.204 2.086 7.865
Cu 0.000 1.368 3.932
Cu 3.632 0.684 11.797
Cu 0.000 2.781 1.967
Li 0.000 0.000 14.251
Cu 1.204 2.086 0.000
Li 0.000 0.000 9.344
Cu -1.204 2.086 0.000
```

(6)
Entry from OQMD via LeMat-Bulk: an optimized crystal structure of Na2InIrS4 (PBE). Values from VASP.

Output
electronic total energy: -35.02 eV/cell
M_tot: 1.99 μB/f.u.

```
&SYSTEM
  ibrav = 0, nat = 8, ntyp = 4
/
ATOMIC_SPECIES
S 32.06 S.upf
Na 22.99 Na.upf
In 114.82 In.upf
Ir 192.22 Ir.upf
CELL_PARAMETERS angstrom
3.144 -3.149 4.301
3.821 4.648 -1.447
-5.493 1.985 2.045
ATOMIC_POSITIONS angstrom
S -0.947 0.668 5.349
Na 3.482 0.750 1.427
S 4.705 3.308 0.486
S 1.204 1.812 3.041
Na 0.905 3.691 1.012
In 0.000 0.000 0.000
Ir 0.566 -0.207 3.886
S -2.019 1.180 0.920
```

(7)
Entry from OQMD via LeMat-Bulk: an optimized crystal structure of Nb2SbW (PBE). Values from VASP.

Output
electronic total energy: -36.37 eV/cell
M_tot: 0.00 μB/f.u.

```
&SYSTEM
  ibrav = 0, nat = 4, ntyp = 3
/
ATOMIC_SPECIES
Nb 92.91 Nb.upf
W 183.84 W.upf
Sb 121.76 Sb.upf
CELL_PARAMETERS angstrom
0.000 3.310 3.310
3.310 0.000 3.310
3.310 3.310 0.000
ATOMIC_POSITIONS angstrom
Nb 0.000 0.000 0.000
W 1.655 1.655 1.655
Nb 4.965 4.965 4.965
Sb 3.310 3.310 3.310
```

(8)
Entry from OQMD via LeMat-Bulk: an optimized crystal structure of HoSi (PBE). Values from VASP.

Output
electronic total energy: -9.25 eV/cell
M_tot: 0.05 μB/f.u.

```
&SYSTEM
  ibrav = 0, nat = 2, ntyp = 2
/
ATOMIC_SPECIES
Si 28.09 Si.upf
Ho 164.93 Ho.upf
CELL_PARAMETERS angstrom
0.000 3.229 3.229
3.229 0.000 3.229
3.229 3.229 0.000
ATOMIC_POSITIONS angstrom
Si 1.614 1.614 1.614
Ho 0.000 0.000 0.000
```

(9)
Entry from OQMD via LeMat-Bulk: an optimized crystal structure of SrGaCo (PBE). Values from VASP.

Output
electronic total energy: -8.97 eV/cell
M_tot: 0.86 μB/f.u.

```
&SYSTEM
  ibrav = 0, nat = 3, ntyp = 3
/
ATOMIC_SPECIES
Co 58.93 Co.upf
Sr 87.62 Sr.upf
Ga 69.72 Ga.upf
CELL_PARAMETERS angstrom
0.000 3.498 3.498
3.498 0.000 3.498
3.498 3.498 0.000
ATOMIC_POSITIONS angstrom
Co 1.749 1.749 1.749
Sr 0.000 0.000 0.000
Ga 5.246 5.246 5.246
```

(10)
Entry from OQMD via LeMat-Bulk: an optimized crystal structure of ZnBr2 (PBE). Values from VASP.

Output
electronic total energy: -13.60 eV/cell

```
&SYSTEM
  ibrav = 0, nat = 6, ntyp = 2
/
ATOMIC_SPECIES
Br 79.90 Br.upf
Zn 65.41 Zn.upf
CELL_PARAMETERS angstrom
6.486 0.000 0.000
0.000 6.486 0.000
0.000 0.000 3.786
ATOMIC_POSITIONS angstrom
Br 2.021 2.021 0.000
Zn 0.000 0.000 0.000
Br 5.264 1.222 1.893
Br 1.222 5.264 1.893
Zn 3.243 3.243 1.893
Br 4.465 4.465 0.000
```

(11)
Entry from OQMD via LeMat-Bulk: an optimized crystal structure of HoTePO (PBE). Values from VASP.

Output
electronic total energy: -42.80 eV/cell
M_tot: 0.00 μB/f.u.

```
&SYSTEM
  ibrav = 0, nat = 8, ntyp = 4
/
ATOMIC_SPECIES
Te 127.60 Te.upf
P 30.97 P.upf
O 16.00 O.upf
Ho 164.93 Ho.upf
CELL_PARAMETERS angstrom
3.965 -3.965 0.000
3.965 3.965 0.000
0.000 0.000 5.055
ATOMIC_POSITIONS angstrom
Te 1.983 0.000 0.020
Te 5.948 0.000 5.035
P 1.983 0.000 2.554
P 5.948 0.000 2.501
O 3.965 1.983 0.000
O 3.965 -1.983 0.000
Ho 3.965 -1.983 2.528
Ho 3.965 1.983 2.528
```

(12)
Entry from OQMD via LeMat-Bulk: an optimized crystal structure of ScBePd (PBE). Values from VASP.

Output
electronic total energy: -15.91 eV/cell
M_tot: 0.00 μB/f.u.

```
&SYSTEM
  ibrav = 0, nat = 3, ntyp = 3
/
ATOMIC_SPECIES
Sc 44.96 Sc.upf
Be 9.01 Be.upf
Pd 106.42 Pd.upf
CELL_PARAMETERS angstrom
0.000 2.994 2.994
2.994 0.000 2.994
2.994 2.994 0.000
ATOMIC_POSITIONS angstrom
Sc 4.492 4.492 4.492
Be 1.497 1.497 1.497
Pd 0.000 0.000 0.000
```

Look up the electronic total energy of the eleventh one. -42.80 eV/cell

Which value of electronic total energy does entry 2 give? -51.47 eV/cell